Entry from Alexandria: a relaxed structure of Li2ReO3 (PBE).

Summary:
energy: -6.78 eV per atom
uncorrected formation energy: -9.509 eV/f.u.

```
data_Li2ReO3
_chemical_formula_sum 'Li4 Re2 O6'
_cell_length_a 5.7795
_cell_length_b 5.7795
_cell_length_c 5.7795
_cell_angle_alpha 51.10
_cell_angle_beta 51.10
_cell_angle_gamma 51.10
_symmetry_space_group_name_H-M 'P 1'
_symmetry_Int_Tables_number 1
_symmetry_space_group_name_Hall 'P 1'
loop_
_atom_site_label
_atom_site_fract_x
_atom_site_fract_y
_atom_site_fract_z
Li1 0.1750 0.1750 0.1750
Li2 0.3250 0.3250 0.3250
Li3 0.6750 0.6750 0.6750
Li4 0.8250 0.8250 0.8250
Re1 0.0000 0.0000 0.0000
Re2 0.5000 0.5000 0.5000
O1 0.1059 0.7500 0.3941
O2 0.2500 0.6059 0.8941
O3 0.3941 0.1059 0.7500
O4 0.6059 0.8941 0.2500
O5 0.7500 0.3941 0.1059
O6 0.8941 0.2500 0.6059
```

=====

Entry from Alexandria: a relaxed structure of Li2Re2O7 (PBE).

Summary:
energy: -7.49 eV per atom
uncorrected formation energy: -18.969 eV/f.u.

```
data_Li2Re2O7
_chemical_formula_sum 'Li2 Re2 O7'
_cell_length_a 5.5201
_cell_length_b 5.5201
_cell_length_c 5.2939
_cell_angle_alpha 97.67
_cell_angle_beta 97.67
_cell_angle_gamma 109.33
_symmetry_space_group_name_H-M 'P 1'
_symmetry_Int_Tables_number 1
_symmetry_space_group_name_Hall 'P 1'
loop_
_atom_site_label
_atom_site_fract_x
_atom_site_fract_y
_atom_site_fract_z
Li1 0.1771 0.8229 0.0000
Li2 0.8229 0.1771 0.0000
Re1 0.2499 0.2499 0.6265
Re2 0.7501 0.7501 0.3735
O1 0.0549 0.0549 0.2882
O2 0.1222 0.4674 0.7872
O3 0.4674 0.1222 0.7872
O4 0.5000 0.5000 0.5000
O5 0.5326 0.8778 0.2128
O6 0.8778 0.5326 0.2128
O7 0.9451 0.9451 0.7118
```

=====

Entry from Alexandria: a relaxed structure of Li2ReO5 (PBE).

Summary:
energy: -6.86 eV per atom
uncorrected formation energy: -13.818 eV/f.u.

```
data_Li2ReO5
_chemical_formula_sum 'Li8 Re4 O20'
_cell_length_a 8.3628
_cell_length_b 8.4299
_cell_length_c 6.5018
_cell_angle_alpha 90.00
_cell_angle_beta 90.00
_cell_angle_gamma 90.00
_symmetry_space_group_name_H-M 'P 1'
_symmetry_Int_Tables_number 1
_symmetry_space_group_name_Hall 'P 1'
loop_
_atom_site_label
_atom_site_fract_x
_atom_site_fract_y
_atom_site_fract_z
Li1 0.0000 0.0000 0.2166
Li2 0.0000 0.0000 0.7834
Li3 0.1430 0.4047 0.5000
Li4 0.3570 0.9047 0.0000
Li5 0.5000 0.5000 0.2834
Li6 0.5000 0.5000 0.7166
Li7 0.6430 0.0953 0.0000
Li8 0.8570 0.5953 0.5000
Re1 0.2287 0.7880 0.5000
Re2 0.2713 0.2880 0.0000
Re3 0.7287 0.7120 0.0000
Re4 0.7713 0.2120 0.5000
O1 0.0085 0.0886 0.5000
O2 0.0826 0.6361 0.5000
O3 0.0981 0.1636 0.0000
O4 0.2478 0.3955 0.2321
O5 0.2478 0.3955 0.7679
O6 0.2522 0.8955 0.2679
O7 0.2522 0.8955 0.7321
O8 0.4019 0.6636 0.5000
O9 0.4174 0.1361 0.0000
O10 0.4915 0.5886 0.0000
O11 0.5085 0.4114 0.0000
O12 0.5826 0.8639 0.0000
O13 0.5981 0.3364 0.5000
O14 0.7478 0.1045 0.2679
O15 0.7478 0.1045 0.7321
O16 0.7522 0.6045 0.2321
O17 0.7522 0.6045 0.7679
O18 0.9019 0.8364 0.0000
O19 0.9174 0.3639 0.5000
O20 0.9915 0.9114 0.5000
```

=====

Entry from Alexandria: a relaxed structure of LiRe2O8 (PBE).

Summary:
energy: -7.55 eV per atom
uncorrected formation energy: -16.624 eV/f.u.

```
data_LiRe2O8
_chemical_formula_sum 'Li1 Re2 O8'
_cell_length_a 5.9134
_cell_length_b 5.9134
_cell_length_c 6.4117
_cell_angle_alpha 90.00
_cell_angle_beta 90.00
_cell_angle_gamma 120.00
_symmetry_space_group_name_H-M 'P 1'
_symmetry_Int_Tables_number 1
_symmetry_space_group_name_Hall 'P 1'
loop_
_atom_site_label
_atom_site_fract_x
_atom_site_fract_y
_atom_site_fract_z
Li1 0.0000 0.0000 0.0000
Re1 0.3333 0.6667 0.7286
Re2 0.6667 0.3333 0.2714
O1 0.1717 0.3433 0.8202
O2 0.1717 0.8283 0.8202
O3 0.3333 0.6667 0.4561
O4 0.3433 0.1717 0.1798
O5 0.6567 0.8283 0.8202
O6 0.6667 0.3333 0.5439
O7 0.8283 0.1717 0.1798
O8 0.8283 0.6567 0.1798
```

=====

Entry from Alexandria: a relaxed structure of LiReO4 (PBE).

Summary:
energy: -7.48 eV per atom
uncorrected formation energy: -10.677 eV/f.u.

```
data_LiReO4
_chemical_formula_sum 'Li4 Re4 O16'
_cell_length_a 4.6325
_cell_length_b 4.6212
_cell_length_c 17.7135
_cell_angle_alpha 90.00
_cell_angle_beta 90.08
_cell_angle_gamma 90.00
_symmetry_space_group_name_H-M 'P 1'
_symmetry_Int_Tables_number 1
_symmetry_space_group_name_Hall 'P 1'
loop_
_atom_site_label
_atom_site_fract_x
_atom_site_fract_y
_atom_site_fract_z
Li1 0.2500 0.0045 0.1234
Li2 0.2500 0.4955 0.6234
Li3 0.7500 0.5045 0.3766
Li4 0.7500 0.9955 0.8766
Re1 0.2499 0.0046 0.3760
Re2 0.2499 0.4954 0.8760
Re3 0.7501 0.5046 0.1240
Re4 0.7501 0.9954 0.6240
O1 0.0251 0.7172 0.8210
O2 0.0251 0.7828 0.3210
O3 0.0285 0.2295 0.4310
O4 0.0285 0.2705 0.9310
O5 0.4720 0.7211 0.9307
O6 0.4720 0.7789 0.4307
O7 0.4736 0.2272 0.3211
O8 0.4736 0.2728 0.8211
O9 0.5264 0.7272 0.1789
O10 0.5264 0.7728 0.6789
O11 0.5280 0.2211 0.5693
O12 0.5280 0.2789 0.0693
O13 0.9715 0.7295 0.0690
O14 0.9715 0.7705 0.5690
O15 0.9749 0.2172 0.6790
O16 0.9749 0.2828 0.1790
```

=====

Entry from Alexandria: a relaxed structure of LiReO4 (PBE).

Summary:
energy: -7.56 eV per atom
uncorrected formation energy: -11.136 eV/f.u.

```
data_LiReO4
_chemical_formula_sum 'Li1 Re1 O4'
_cell_length_a 5.9193
_cell_length_b 5.9193
_cell_length_c 5.9193
_cell_angle_alpha 123.91
_cell_angle_beta 123.91
_cell_angle_gamma 83.35
_symmetry_space_group_name_H-M 'P 1'
_symmetry_Int_Tables_number 1
_symmetry_space_group_name_Hall 'P 1'
loop_
_atom_site_label
_atom_site_fract_x
_atom_site_fract_y
_atom_site_fract_z
Li1 0.0000 0.0000 0.0000
Re1 0.7500 0.2500 0.5000
O1 0.3959 0.2273 0.3522
O2 0.7727 0.1249 0.1686
O3 0.8751 0.0437 0.6478
O4 0.9563 0.6041 0.8314
```

=====

Entry from Alexandria: a relaxed structure of Li3ReO (PBE).

Summary:
energy: -4.56 eV per atom
uncorrected formation energy: 0.351 eV/f.u.

```
data_Li3ReO
_chemical_formula_sum 'Li3 Re1 O1'
_cell_length_a 3.9852
_cell_length_b 3.9852
_cell_length_c 3.9852
_cell_angle_alpha 90.00
_cell_angle_beta 90.00
_cell_angle_gamma 90.00
_symmetry_space_group_name_H-M 'P 1'
_symmetry_Int_Tables_number 1
_symmetry_space_group_name_Hall 'P 1'
loop_
_atom_site_label
_atom_site_fract_x
_atom_site_fract_y
_atom_site_fract_z
Li1 0.0000 0.0000 0.5000
Li2 0.0000 0.5000 0.0000
Li3 0.5000 0.0000 0.0000
Re1 0.5000 0.5000 0.5000
O1 0.0000 0.0000 0.0000
```

=====

Entry from Alexandria: a relaxed structure of LiReO4 (PBE).

Summary:
energy: -7.55 eV per atom
uncorrected formation energy: -11.077 eV/f.u.

```
data_LiReO4
_chemical_formula_sum 'Li6 Re6 O24'
_cell_length_a 7.0433
_cell_length_b 8.6196
_cell_length_c 9.9247
_cell_angle_alpha 97.39
_cell_angle_beta 106.36
_cell_angle_gamma 101.66
_symmetry_space_group_name_H-M 'P 1'
_symmetry_Int_Tables_number 1
_symmetry_space_group_name_Hall 'P 1'
loop_
_atom_site_label
_atom_site_fract_x
_atom_site_fract_y
_atom_site_fract_z
Li1 0.0350 0.1181 0.2860
Li2 0.2531 0.6977 0.9119
Li3 0.4641 0.3031 0.5122
Li4 0.5359 0.6969 0.4878
Li5 0.7469 0.3023 0.0881
Li6 0.9650 0.8819 0.7140
Re1 0.0212 0.2901 0.6220
Re2 0.2972 0.4040 0.1602
Re3 0.4946 0.0070 0.2446
Re4 0.5054 0.9930 0.7554
Re5 0.7028 0.5960 0.8398
Re6 0.9788 0.7099 0.3780
O1 0.0161 0.1207 0.7031
O2 0.0593 0.2774 0.1476
O3 0.1373 0.2702 0.4866
O4 0.1530 0.4657 0.7507
O5 0.2300 0.6994 0.4566
O6 0.2521 0.5624 0.0736
O7 0.2724 0.8763 0.7609
O8 0.3430 0.9055 0.0731
O9 0.3604 0.1300 0.3179
O10 0.4346 0.2969 0.0779
O11 0.4400 0.4823 0.3415
O12 0.4538 0.1352 0.6493
O13 0.5462 0.8648 0.3507
O14 0.5600 0.5177 0.6585
O15 0.5654 0.7031 0.9221
O16 0.6396 0.8700 0.6821
O17 0.6570 0.0945 0.9269
O18 0.7276 0.1237 0.2391
O19 0.7479 0.4376 0.9264
O20 0.7700 0.3006 0.5434
O21 0.8470 0.5343 0.2493
O22 0.8627 0.7298 0.5134
O23 0.9407 0.7226 0.8524
O24 0.9839 0.8793 0.2969
```

=====

Question: Which formula does entry 8 have?
Answer: LiReO4

=====

Copy entry 5 word for word.
Entry from Alexandria: a relaxed structure of LiReO4 (PBE).

Summary:
energy: -7.48 eV per atom
uncorrected formation energy: -10.677 eV/f.u.

```
data_LiReO4
_chemical_formula_sum 'Li4 Re4 O16'
_cell_length_a 4.6325
_cell_length_b 4.6212
_cell_length_c 17.7135
_cell_angle_alpha 90.00
_cell_angle_beta 90.08
_cell_angle_gamma 90.00
_symmetry_space_group_name_H-M 'P 1'
_symmetry_Int_Tables_number 1
_symmetry_space_group_name_Hall 'P 1'
loop_
_atom_site_label
_atom_site_fract_x
_atom_site_fract_y
_atom_site_fract_z
Li1 0.2500 0.0045 0.1234
Li2 0.2500 0.4955 0.6234
Li3 0.7500 0.5045 0.3766
Li4 0.7500 0.9955 0.8766
Re1 0.2499 0.0046 0.3760
Re2 0.2499 0.4954 0.8760
Re3 0.7501 0.5046 0.1240
Re4 0.7501 0.9954 0.6240
O1 0.0251 0.7172 0.8210
O2 0.0251 0.7828 0.3210
O3 0.0285 0.2295 0.4310
O4 0.0285 0.2705 0.9310
O5 0.4720 0.7211 0.9307
O6 0.4720 0.7789 0.4307
O7 0.4736 0.2272 0.3211
O8 0.4736 0.2728 0.8211
O9 0.5264 0.7272 0.1789
O10 0.5264 0.7728 0.6789
O11 0.5280 0.2211 0.5693
O12 0.5280 0.2789 0.0693
O13 0.9715 0.7295 0.0690
O14 0.9715 0.7705 0.5690
O15 0.9749 0.2172 0.6790
O16 0.9749 0.2828 0.1790
```

=====

Please write out number 6 again, unchanged.
Entry from Alexandria: a relaxed structure of LiReO4 (PBE).

Summary:
energy: -7.56 eV per atom
uncorrected formation energy: -11.136 eV/f.u.

```
data_LiReO4
_chemical_formula_sum 'Li1 Re1 O4'
_cell_length_a 5.9193
_cell_length_b 5.9193
_cell_length_c 5.9193
_cell_angle_alpha 123.91
_cell_angle_beta 123.91
_cell_angle_gamma 83.35
_symmetry_space_group_name_H-M 'P 1'
_symmetry_Int_Tables_number 1
_symmetry_space_group_name_Hall 'P 1'
loop_
_atom_site_label
_atom_site_fract_x
_atom_site_fract_y
_atom_site_fract_z
Li1 0.0000 0.0000 0.0000
Re1 0.7500 0.2500 0.5000
O1 0.3959 0.2273 0.3522
O2 0.7727 0.1249 0.1686
O3 0.8751 0.0437 0.6478
O4 0.9563 0.6041 0.8314
```